# 1
# Nd8SmEr4, optimized geometry, DFT PBE
data_Nd8SmEr4
_chemical_formula_sum 'Nd8 Sm1 Er4'
_cell_length_a 10.435
_cell_length_b 10.435
_cell_length_c 10.435
_cell_angle_alpha 41.09
_cell_angle_beta 41.09
_cell_angle_gamma 41.09
_symmetry_space_group_name_H-M 'P 1'
_symmetry_Int_Tables_number 1
_symmetry_space_group_name_Hall 'P 1'
loop_
_atom_site_label
_atom_site_fract_x
_atom_site_fract_y
_atom_site_fract_z
_atom_site_occupancy
Nd1 0.204 0.752 0.752 1
Nd2 0.214 0.214 0.214 1
Nd3 0.248 0.248 0.796 1
Nd4 0.248 0.796 0.248 1
Nd5 0.752 0.204 0.752 1
Nd6 0.752 0.752 0.204 1
Nd7 0.786 0.786 0.786 1
Nd8 0.796 0.248 0.248 1
Sm1 0.500 0.500 0.500 1
Er1 0.000 0.000 0.000 1
Er2 0.000 0.500 0.500 1
Er3 0.500 0.000 0.500 1
Er4 0.500 0.500 0.000 1
# **Space-group type**: No. 166
# **Calculated density**: 7.395 g cm⁻³

# 2
# NdSm3Er3, optimized geometry, DFT PBE
data_NdSm3Er3
_chemical_formula_sum 'Nd1 Sm3 Er3'
_cell_length_a 6.351
_cell_length_b 6.351
_cell_length_c 6.351
_cell_angle_alpha 102.82
_cell_angle_beta 102.82
_cell_angle_gamma 102.82
_symmetry_space_group_name_H-M 'P 1'
_symmetry_Int_Tables_number 1
_symmetry_space_group_name_Hall 'P 1'
loop_
_atom_site_label
_atom_site_fract_x
_atom_site_fract_y
_atom_site_fract_z
_atom_site_occupancy
Nd1 0.000 0.000 0.000 1
Sm1 0.054 0.413 0.413 1
Sm2 0.413 0.054 0.413 1
Sm3 0.413 0.413 0.054 1
Er1 0.454 0.856 0.856 1
Er2 0.856 0.454 0.856 1
Er3 0.856 0.856 0.454 1
# **Space-group type**: No. 160
# **Excess energy over the best structure of this formula in the dataset**: 0.031 eV/atom
# **Calculated density**: 7.803 g cm⁻³

# 3
# Nd12SmEr7, optimized geometry, DFT PBE
data_Nd12SmEr7
_chemical_formula_sum 'Nd12 Sm1 Er7'
_cell_length_a 9.430
_cell_length_b 9.430
_cell_length_c 9.430
_cell_angle_alpha 107.92
_cell_angle_beta 107.92
_cell_angle_gamma 107.92
_symmetry_space_group_name_H-M 'P 1'
_symmetry_Int_Tables_number 1
_symmetry_space_group_name_Hall 'P 1'
loop_
_atom_site_label
_atom_site_fract_x
_atom_site_fract_y
_atom_site_fract_z
_atom_site_occupancy
Nd1 0.053 0.296 0.408 1
Nd2 0.220 0.672 0.378 1
Nd3 0.296 0.408 0.053 1
Nd4 0.328 0.622 0.780 1
Nd5 0.378 0.220 0.672 1
Nd6 0.408 0.053 0.296 1
Nd7 0.592 0.947 0.704 1
Nd8 0.622 0.780 0.328 1
Nd9 0.672 0.378 0.220 1
Nd10 0.704 0.592 0.947 1
Nd11 0.780 0.328 0.622 1
Nd12 0.947 0.704 0.592 1
Sm1 0.000 0.000 0.000 1
Er1 0.008 0.896 0.319 1
Er2 0.104 0.681 0.992 1
Er3 0.319 0.008 0.896 1
Er4 0.500 0.500 0.500 1
Er5 0.681 0.992 0.104 1
Er6 0.896 0.319 0.008 1
Er7 0.992 0.104 0.681 1
# **Space-group type**: No. 148
# **Excess energy over the best structure of this formula in the dataset**: 0.000 eV/atom
# **Calculated density**: 7.452 g cm⁻³

# 4
# Nd7Sm3Er, optimized geometry, DFT PBE
data_Nd7Sm3Er
_chemical_formula_sum 'Nd7 Sm3 Er1'
_cell_length_a 8.615
_cell_length_b 8.615
_cell_length_c 5.969
_cell_angle_alpha 110.25
_cell_angle_beta 110.25
_cell_angle_gamma 82.86
_symmetry_space_group_name_H-M 'P 1'
_symmetry_Int_Tables_number 1
_symmetry_space_group_name_Hall 'P 1'
loop_
_atom_site_label
_atom_site_fract_x
_atom_site_fract_y
_atom_site_fract_z
_atom_site_occupancy
Nd1 0.000 0.000 0.000 1
Nd2 0.097 0.513 0.305 1
Nd3 0.290 0.290 0.789 1
Nd4 0.487 0.903 0.695 1
Nd5 0.513 0.097 0.305 1
Nd6 0.710 0.710 0.211 1
Nd7 0.903 0.487 0.695 1
Sm1 0.293 0.707 0.000 1
Sm2 0.500 0.500 0.500 1
Sm3 0.707 0.293 0.000 1
Er1 0.000 0.000 0.500 1
# **Space-group type**: No. 12
# **Excess energy over the best structure of this formula in the dataset**: 0.048 eV/atom
# **Calculated density**: 6.933 g cm⁻³

# 5
# NdSm7Er2, optimized geometry, DFT PBE
data_NdSm7Er2
_chemical_formula_sum 'Nd1 Sm7 Er2'
_cell_length_a 9.179
_cell_length_b 9.179
_cell_length_c 5.722
_cell_angle_alpha 90.00
_cell_angle_beta 90.00
_cell_angle_gamma 122.11
_symmetry_space_group_name_H-M 'P 1'
_symmetry_Int_Tables_number 1
_symmetry_space_group_name_Hall 'P 1'
loop_
_atom_site_label
_atom_site_fract_x
_atom_site_fract_y
_atom_site_fract_z
_atom_site_occupancy
Nd1 0.000 0.000 0.000 1
Sm1 0.062 0.295 0.500 1
Sm2 0.226 0.774 0.000 1
Sm3 0.295 0.062 0.500 1
Sm4 0.500 0.500 0.500 1
Sm5 0.705 0.938 0.500 1
Sm6 0.774 0.226 0.000 1
Sm7 0.938 0.705 0.500 1
Er1 0.296 0.704 0.500 1
Er2 0.704 0.296 0.500 1
# **Space-group type**: No. 65
# **Excess energy over the best structure of this formula in the dataset**: 0.614 eV/atom
# **Calculated density**: 6.227 g cm⁻³

# 6
# Nd4Sm8Er, optimized geometry, DFT PBE
data_Nd4Sm8Er
_chemical_formula_sum 'Nd4 Sm8 Er1'
_cell_length_a 7.892
_cell_length_b 7.892
_cell_length_c 7.892
_cell_angle_alpha 90.66
_cell_angle_beta 90.66
_cell_angle_gamma 90.66
_symmetry_space_group_name_H-M 'P 1'
_symmetry_Int_Tables_number 1
_symmetry_space_group_name_Hall 'P 1'
loop_
_atom_site_label
_atom_site_fract_x
_atom_site_fract_y
_atom_site_fract_z
_atom_site_occupancy
Nd1 0.000 0.000 0.000 1
Nd2 0.000 0.500 0.500 1
Nd3 0.500 0.000 0.500 1
Nd4 0.500 0.500 0.000 1
Sm1 0.237 0.237 0.755 1
Sm2 0.237 0.755 0.237 1
Sm3 0.238 0.238 0.238 1
Sm4 0.245 0.763 0.763 1
Sm5 0.755 0.237 0.237 1
Sm6 0.762 0.762 0.762 1
Sm7 0.763 0.245 0.763 1
Sm8 0.763 0.763 0.245 1
Er1 0.500 0.500 0.500 1
# **Space-group type**: No. 166
# **Calculated density**: 6.578 g cm⁻³

# 7
# Nd8Sm3Er2, optimized geometry, DFT PBE
data_Nd8Sm3Er2
_chemical_formula_sum 'Nd8 Sm3 Er2'
_cell_length_a 8.889
_cell_length_b 8.889
_cell_length_c 6.232
_cell_angle_alpha 107.16
_cell_angle_beta 107.16
_cell_angle_gamma 83.91
_symmetry_space_group_name_H-M 'P 1'
_symmetry_Int_Tables_number 1
_symmetry_space_group_name_Hall 'P 1'
loop_
_atom_site_label
_atom_site_fract_x
_atom_site_fract_y
_atom_site_fract_z
_atom_site_occupancy
Nd1 0.056 0.056 0.287 1
Nd2 0.072 0.584 0.830 1
Nd3 0.348 0.348 0.449 1
Nd4 0.416 0.928 0.170 1
Nd5 0.584 0.072 0.830 1
Nd6 0.652 0.652 0.551 1
Nd7 0.928 0.416 0.170 1
Nd8 0.944 0.944 0.713 1
Sm1 0.254 0.746 0.500 1
Sm2 0.500 0.500 0.000 1
Sm3 0.746 0.254 0.500 1
Er1 0.212 0.212 0.856 1
Er2 0.788 0.788 0.144 1
# **Space-group type**: No. 12
# **Excess energy over the best structure of this formula in the dataset**: 0.000 eV/atom
# **Calculated density**: 7.166 g cm⁻³

# 8
# Nd16Sm6Er7, optimized geometry, DFT PBE
data_Nd16Sm6Er7
_chemical_formula_sum 'Nd16 Sm6 Er7'
_cell_length_a 11.340
_cell_length_b 11.340
_cell_length_c 11.340
_cell_angle_alpha 60.00
_cell_angle_beta 60.00
_cell_angle_gamma 60.00
_symmetry_space_group_name_H-M 'P 1'
_symmetry_Int_Tables_number 1
_symmetry_space_group_name_Hall 'P 1'
loop_
_atom_site_label
_atom_site_fract_x
_atom_site_fract_y
_atom_site_fract_z
_atom_site_occupancy
Nd1 0.050 0.650 0.650 1
Nd2 0.125 0.125 0.125 1
Nd3 0.125 0.125 0.624 1
Nd4 0.125 0.624 0.125 1
Nd5 0.350 0.350 0.350 1
Nd6 0.350 0.350 0.950 1
Nd7 0.350 0.950 0.350 1
Nd8 0.376 0.875 0.875 1
Nd9 0.624 0.125 0.125 1
Nd10 0.650 0.050 0.650 1
Nd11 0.650 0.650 0.050 1
Nd12 0.650 0.650 0.650 1
Nd13 0.875 0.376 0.875 1
Nd14 0.875 0.875 0.376 1
Nd15 0.875 0.875 0.875 1
Nd16 0.950 0.350 0.350 1
Sm1 0.269 0.269 0.731 1
Sm2 0.269 0.731 0.269 1
Sm3 0.269 0.731 0.731 1
Sm4 0.731 0.269 0.269 1
Sm5 0.731 0.269 0.731 1
Sm6 0.731 0.731 0.269 1
Er1 0.000 0.000 0.000 1
Er2 0.000 0.000 0.500 1
Er3 0.000 0.500 0.000 1
Er4 0.000 0.500 0.500 1
Er5 0.500 0.000 0.000 1
Er6 0.500 0.000 0.500 1
Er7 0.500 0.500 0.000 1
# **Space-group type**: No. 225
# **Calculated density**: 7.055 g cm⁻³

# 9
# Nd2SmEr5, optimized geometry, DFT PBE
data_Nd2SmEr5
_chemical_formula_sum 'Nd4 Sm2 Er10'
_cell_length_a 9.504
_cell_length_b 9.504
_cell_length_c 6.500
_cell_angle_alpha 96.86
_cell_angle_beta 96.86
_cell_angle_gamma 62.61
_symmetry_space_group_name_H-M 'P 1'
_symmetry_Int_Tables_number 1
_symmetry_space_group_name_Hall 'P 1'
loop_
_atom_site_label
_atom_site_fract_x
_atom_site_fract_y
_atom_site_fract_z
_atom_site_occupancy
Nd1 0.169 0.676 0.886 1
Nd2 0.324 0.831 0.614 1
Nd3 0.676 0.169 0.386 1
Nd4 0.831 0.324 0.114 1
Sm1 0.000 0.500 0.000 1
Sm2 0.500 0.000 0.500 1
Er1 0.011 0.189 0.645 1
Er2 0.189 0.011 0.145 1
Er3 0.215 0.393 0.477 1
Er4 0.393 0.215 0.977 1
Er5 0.442 0.558 0.250 1
Er6 0.558 0.442 0.750 1
Er7 0.607 0.785 0.023 1
Er8 0.785 0.607 0.523 1
Er9 0.811 0.989 0.855 1
Er10 0.989 0.811 0.355 1
# **Space-group type**: No. 15
# **Excess energy over the best structure of this formula in the dataset**: 0.153 eV/atom
# **Calculated density**: 8.203 g cm⁻³

| no. | E_form (meV per atom) |
| --- | --- |
| 1 | 184 |
| 2 | 234 |
| 3 | 150 |
| 4 | 230 |
| 5 | 659 |
| 6 | 487 |
| 7 | 157 |
| 8 | 203 |
| 9 | 175 |